Entry 1:
Below is crystalline V6Si3C at its relaxed geometry, with properties calculated at the PBE-GGA level.

Summary:
- Space group: C2/m
- Formation energy without anion corrections: -156.1 meV/atom
- Magnetic moment: 0.00 μB per atom

Cell lengths 6.753, 5.666, 5.666 Å; angles 52.83, 55.85, 55.85 degrees
Fractional coordinates of all 10 atoms:
V1 0.368 0.167 0.660
V2 0.632 0.340 0.833
V3 0.632 0.833 0.340
V4 0.368 0.660 0.167
V5 0.163 0.726 0.726
V6 0.837 0.274 0.274
Si1 0.178 0.296 0.296
Si2 0.822 0.704 0.704
Si3 0.000 0.000 0.000
C1 0.500 0.500 0.500

Entry 2:
Below is crystalline Li3Tb2NpTe6 at its relaxed geometry, with properties calculated at the PBE-GGA level.

Summary:
- Space group: C2/m
- Formation energy without anion corrections: -1118.8 meV/atom
- Magnetic moment: 0.33 μB per atom

Cell lengths 7.574, 7.574, 7.494 Å; angles 99.67, 99.67, 119.89 degrees
Last column: magnetic moment on the atom in μB.
Fractional coordinates of all 12 atoms:
Li1 0.168 0.832 0.500  0.00
Li2 0.832 0.168 0.500  0.00
Li3 0.500 0.500 0.500  0.00
Tb1 0.334 0.666 0.000  0.03
Tb2 0.666 0.334 0.000  0.03
Np1 0.000 0.000 0.000  3.95
Te1 0.914 0.578 0.743  -0.03
Te2 0.750 0.750 0.258  -0.03
Te3 0.086 0.422 0.257  -0.03
Te4 0.578 0.914 0.743  -0.03
Te5 0.250 0.250 0.742  -0.03
Te6 0.422 0.086 0.257  -0.03

Entry 3:
Below is crystalline Be2ReSe at its relaxed geometry, with properties calculated at the PBE-GGA level.

Summary:
- Space group: F-43m
- Formation energy without anion corrections: 707.4 meV/atom
- Magnetic moment: 0.00 μB per atom

Cell lengths 4.171, 4.171, 4.171 Å; angles 60.00, 60.00, 60.00 degrees
Fractional coordinates of all 4 atoms:
Re1 0.500 0.500 0.500
Se1 0.750 0.750 0.750
Be1 0.000 0.000 0.000
Be2 0.250 0.250 0.250

Entry 4:
Below is crystalline Sc4AlRu at its relaxed geometry, with properties calculated at the PBE-GGA level.

Summary:
- Space group: F-43m
- Energy of formation from the pure elements: -2.4 eV/f.u.
- Energy above the lowest structure with this stoichiometry: 0.000 eV per atom
- Magnetic moment: 0.00 μB per atom

Cell lengths 8.887, 8.887, 8.887 Å; angles 60.00, 60.00, 60.00 degrees
Fractional coordinates of all 24 atoms:
Sc1 0.394 0.394 0.394
Sc2 0.819 0.394 0.394
Sc3 0.394 0.819 0.394
Sc4 0.394 0.394 0.819
Sc5 0.557 0.557 0.943
Sc6 0.943 0.943 0.557
Sc7 0.557 0.943 0.557
Sc8 0.943 0.557 0.943
Sc9 0.943 0.557 0.557
Sc10 0.557 0.943 0.943
Sc11 0.189 0.189 0.811
Sc12 0.811 0.811 0.189
Sc13 0.189 0.811 0.189
Sc14 0.811 0.189 0.811
Sc15 0.811 0.189 0.189
Sc16 0.189 0.811 0.811
Al1 0.170 0.170 0.170
Al2 0.491 0.170 0.170
Al3 0.170 0.491 0.170
Al4 0.170 0.170 0.491
Ru1 0.605 0.605 0.605
Ru2 0.185 0.605 0.605
Ru3 0.605 0.185 0.605
Ru4 0.605 0.605 0.185